VASP calculation (GGA-PBE) on a relaxed GdTeAu crystal.

## Properties
ρ: 9.559 g/cm³
DFT total energy: -7.76 eV per atom
E_form (uncorrected): -0.929 eV/atom
DOS(E_F): 2.38 states/eV per cell

Cell and atoms, written as POSCAR:
```
GdTeAu
1.0
4.4786 0.0000 0.0000
-2.2393 3.8786 0.0000
0.0000 0.0000 4.8186
Gd Te Au
1 1 1
Cartesian
0.0000 0.0000 0.0000 Gd
0.0000 2.5857 2.9274 Te
2.2393 1.2929 1.3990 Au
```